# 1
Computed, not measured: a crystal of Li2V2Si2O9 relaxed with PBEsol at the meta-GGA SCAN level of DFT.

Lattice parameters (Å, degrees): 5.2236 8.2941 14.0452 90.00 90.00 90.00
Fractional positions:
1 Li 0.5574 0.0309 0.1549
2 O 0.9114 0.6746 0.2294
3 O 0.5886 0.8254 0.7294
4 O 0.7225 0.4794 0.4269
5 V 0.9030 0.8429 0.6735
6 O 0.4114 0.1746 0.2706
7 Si 0.7293 0.3448 0.0243
8 O 0.7383 0.3471 0.9080
9 O 0.4922 0.5000 0.2500
10 Si 0.7293 0.6552 0.4757
11 O 0.9114 0.3254 0.2706
12 Li 0.5574 0.9691 0.3451
13 Li 0.9426 0.5309 0.8451
14 V 0.5970 0.6571 0.1735
15 O 0.2225 0.9794 0.0731
16 O 0.4993 0.7707 0.9342
17 O 0.9993 0.7293 0.9342
18 O 0.7617 0.1529 0.4080
19 O 0.7617 0.8471 0.0920
20 O 0.2225 0.0206 0.4269
21 Si 0.2293 0.1552 0.0243
22 Li 0.4426 0.9691 0.8451
23 O 0.5078 0.5000 0.7500
24 Si 0.2707 0.3448 0.5243
25 V 0.0970 0.8429 0.1735
26 Si 0.2707 0.6552 0.9757
27 Li 0.0574 0.4691 0.1549
28 Si 0.2293 0.8448 0.4757
29 Li 0.4426 0.0309 0.6549
30 O 0.7383 0.6529 0.5920
31 Si 0.7707 0.1552 0.5243
32 V 0.4030 0.6571 0.6735
33 Li 0.9426 0.4691 0.6549
34 O 0.9993 0.2707 0.5658
35 O 0.7775 0.9794 0.5731
36 O 0.0007 0.7293 0.4342
37 Si 0.7707 0.8448 0.9757
38 O 0.2775 0.5206 0.5731
39 O 0.0078 0.0000 0.7500
40 V 0.5970 0.3429 0.3265
41 O 0.4993 0.2293 0.5658
42 V 0.0970 0.1571 0.3265
43 O 0.0886 0.3254 0.7706
44 V 0.9030 0.1571 0.8265
45 O 0.2383 0.1529 0.9080
46 O 0.0886 0.6746 0.7294
47 O 0.7225 0.5206 0.0731
48 O 0.2617 0.6529 0.0920
49 O 0.9922 0.0000 0.2500
50 O 0.4114 0.8254 0.2294
51 O 0.5007 0.7707 0.4342
52 O 0.7775 0.0206 0.9269
53 V 0.4030 0.3429 0.8265
54 O 0.0007 0.2707 0.0658
55 O 0.2775 0.4794 0.9269
56 O 0.2383 0.8471 0.5920
57 Li 0.0574 0.5309 0.3451
58 O 0.5007 0.2293 0.0658
59 O 0.2617 0.3471 0.4080
60 O 0.5886 0.1746 0.7706

Output
**Volume**: 608.5 Å³ per cell
**ΔE_f (raw)**: -266.7 kJ/mol of atoms
**Total energy**: -10.49 eV/atom

=====

# 2
Computed, not measured: a crystal of CaAs2Cl relaxed with PBEsol at the meta-GGA SCAN level of DFT.

Lattice parameters (Å, degrees): 3.7974 3.7974 6.7864 106.15 106.15 90.32
Fractional positions:
1 As 0.0000 0.5000 0.5000
2 As 0.5000 0.0000 0.5000
3 Ca 0.0000 0.0000 0.0000
4 Cl 0.5000 0.5000 0.0000

Output
**Volume**: 89.9 Å³ per cell
**ΔE_f (raw)**: -93.0 kJ/mol of atoms
**Density of states at the Fermi level**: 1.151 states/eV per cell
**Total energy**: -15.47 eV/atom

=====

# 3
Computed, not measured: a crystal of KFe2Rh relaxed with PBEsol at the meta-GGA SCAN level of DFT.

Lattice parameters (Å, degrees): 2.7640 4.6661 4.7483 90.00 90.00 90.00
Fractional positions:
1 Fe 0.0000 0.0000 0.0000
2 Fe 0.5000 0.0000 0.5000
3 Rh 0.0000 0.5000 0.5000
4 K 0.5000 0.5000 0.0000

Output
**Volume**: 61.2 Å³ per cell
**Density of states at the Fermi level**: 3.561 states/eV per cell
**Energy of formation from the pure elements**: 4.31 eV per formula unit
**Total energy**: -18.51 eV/atom

=====

# 4
Computed, not measured: a crystal of ScRh2Se relaxed with PBEsol at the meta-GGA SCAN level of DFT.

Lattice parameters (Å, degrees): 3.0722 3.0722 6.6681 90.00 90.00 90.00
Fractional positions:
1 Rh 0.0000 0.0000 0.9890
2 Rh 0.5000 0.5000 0.2465
3 Sc 0.0000 0.0000 0.4888
4 Se 0.5000 0.5000 0.7757

Output
**Volume**: 62.9 Å³ per cell
**ΔE_f (raw)**: -40.5 kJ/mol of atoms
**Density of states at the Fermi level**: 3.828 states/eV per cell
**Total energy**: -25.88 eV/atom

=====

# 5
Computed, not measured: a crystal of CdSiP2Cl relaxed with PBEsol at the meta-GGA SCAN level of DFT.

Lattice parameters (Å, degrees): 4.8733 4.8733 4.9963 90.00 90.00 90.00
Fractional positions:
1 P 0.0000 0.5000 0.0000
2 P 0.5000 0.0000 0.0000
3 Si 0.5000 0.5000 0.5000
4 Cd 0.0000 0.0000 0.0000
5 Cl 0.0000 0.0000 0.5000

Output
**Volume**: 118.7 Å³ per cell
**ΔE_f (raw)**: 109.4 kJ/mol of atoms
**Density of states at the Fermi level**: 3.660 states/eV per cell
**Total energy**: -12.71 eV/atom

=====

# 6
Computed, not measured: a crystal of KSiI2N relaxed with PBEsol at the meta-GGA SCAN level of DFT.

Lattice parameters (Å, degrees): 4.7993 6.2198 6.2198 90.00 90.00 90.00
Fractional positions:
1 N 0.5000 0.0000 0.0000
2 I 0.0000 0.5000 0.0000
3 K 0.0000 0.0000 0.0000
4 Si 0.5000 0.5000 0.5000
5 I 0.0000 0.0000 0.5000

Output
**Volume**: 185.7 Å³ per cell
**ΔE_f (raw)**: 113.2 kJ/mol of atoms
**Density of states at the Fermi level**: 2.963 states/eV per cell
**Total energy**: -19.05 eV/atom

=====

# 7
Computed, not measured: a crystal of Li4ZrO4 relaxed with PBEsol at the meta-GGA SCAN level of DFT.

Lattice parameters (Å, degrees): 5.4780 5.4780 6.3657 90.00 90.00 96.37
Fractional positions:
1 O 0.2037 0.2037 0.4888
2 Li 0.6001 0.8864 0.7500
3 O 0.3066 0.7271 0.2500
4 O 0.2729 0.6934 0.7500
5 Zr 0.6522 0.6522 0.2500
6 Li 0.1562 0.8438 0.0000
7 Li 0.3999 0.1136 0.2500
8 Li 0.1136 0.3999 0.2500
9 Li 0.8864 0.6001 0.7500
10 O 0.6934 0.2729 0.7500
11 Li 0.1562 0.8438 0.5000
12 O 0.7271 0.3066 0.2500
13 O 0.7963 0.7963 0.5112
14 O 0.2037 0.2037 0.0112
15 Li 0.8438 0.1562 0.0000
16 Zr 0.3478 0.3478 0.7500
17 Li 0.8438 0.1562 0.5000
18 O 0.7963 0.7963 0.9888

Output
**Volume**: 189.8 Å³ per cell
**ΔE_f (raw)**: -253.7 kJ/mol of atoms
**Density of states at the Fermi level**: 0.000 states/eV per cell
**Total energy**: -9.87 eV/atom

=====

# 8
Computed, not measured: a crystal of CdH2Ru relaxed with PBEsol at the meta-GGA SCAN level of DFT.

Lattice parameters (Å, degrees): 4.0642 4.0642 5.7028 110.88 110.88 90.00
Fractional positions:
1 H 0.1250 0.2367 0.7500
2 Ru 0.7500 0.2500 0.5000
3 H 0.4867 0.8750 0.2500
4 Cd 0.2500 0.7500 0.5000
5 H 0.7633 0.3750 0.2500
6 Cd 0.0000 0.0000 0.0000
7 H 0.6250 0.5133 0.7500
8 Ru 0.5000 0.5000 0.0000

Output
**Volume**: 81.4 Å³ per cell
**Density of states at the Fermi level**: 4.648 states/eV per cell
**Total energy**: -17.77 eV/atom

=====

# 9
Computed, not measured: a crystal of TcIr2Ru relaxed with PBEsol at the meta-GGA SCAN level of DFT.

Lattice parameters (Å, degrees): 3.7989 3.7989 3.8231 90.00 90.00 90.00
Fractional positions:
1 Ir 0.0000 0.5000 0.0000
2 Ir 0.5000 0.0000 0.0000
3 Ru 0.5000 0.5000 0.5000
4 Tc 0.0000 0.0000 0.5000

Output
**Volume**: 55.2 Å³ per cell
**Density of states at the Fermi level**: 3.298 states/eV per cell
**Energy of formation from the pure elements**: -0.68 eV per formula unit
**Total energy**: -53.19 eV/atom

=====

# 10
Computed, not measured: a crystal of Li2ZnSe relaxed with PBEsol at the meta-GGA SCAN level of DFT.

Lattice parameters (Å, degrees): 2.8789 3.6820 5.9832 90.00 90.00 90.00
Fractional positions:
1 Zn 0.5000 0.5000 0.5000
2 Li 0.0000 0.0000 0.7643
3 Li 0.0000 0.0000 0.2357
4 Se 0.5000 0.5000 0.0000

Output
**Volume**: 63.4 Å³ per cell
**ΔE_f (raw)**: -53.6 kJ/mol of atoms
**Density of states at the Fermi level**: 0.861 states/eV per cell
**Total energy**: -10.15 eV/atom

=====

# 11
Computed, not measured: a crystal of Li6Co3Ni5O16 relaxed with PBEsol at the meta-GGA SCAN level of DFT.

Lattice parameters (Å, degrees): 5.5712 5.5815 9.0444 90.41 90.00 119.94
Fractional positions:
1 Ni 0.3370 0.1689 0.2860
2 Ni 0.6684 0.3368 0.0083
3 Co 0.6638 0.8331 0.7857
4 Li 0.6640 0.8329 0.0503
5 O 0.5204 0.0408 0.1534
6 O 0.1582 0.8385 0.4061
7 Li 0.1688 0.8329 0.0503
8 O 0.6699 0.3398 0.3953
9 O 0.8440 0.6880 0.9050
10 O 0.9985 0.9969 0.1823
11 Ni 0.3329 0.6657 0.5102
12 O 0.3187 0.1594 0.9062
13 O 0.1609 0.3217 0.4060
14 O 0.8407 0.1594 0.9062
15 O 0.6803 0.8385 0.4061
16 O 0.5226 0.4899 0.1575
17 Co 0.1694 0.8331 0.7857
18 O 0.9673 0.4899 0.1575
19 O 0.3359 0.6718 0.8942
20 Li 0.8306 0.1679 0.5536
21 Li 0.3373 0.1679 0.5536
22 O 0.9993 0.9986 0.6819
23 Ni 0.1685 0.3371 0.7863
24 O 0.4841 0.9681 0.6628
25 Li 0.8322 0.6644 0.5514
26 Li 0.1696 0.3392 0.0536
27 O 0.4857 0.5215 0.6589
28 Ni 0.8319 0.1689 0.2860
29 O 0.0357 0.5215 0.6589
30 Co 0.8318 0.6636 0.2856

Output
**Volume**: 243.7 Å³ per cell
**ΔE_f (raw)**: -152.0 kJ/mol of atoms
**Density of states at the Fermi level**: 7.530 states/eV per cell
**Total energy**: -9.80 eV/atom

=====

# 12
Computed, not measured: a crystal of TaW relaxed with PBEsol at the meta-GGA SCAN level of DFT.

Lattice parameters (Å, degrees): 3.1948 5.3297 6.4480 108.23 90.00 107.44
Fractional positions:
1 W 0.1661 0.3322 0.8388
2 W 0.5000 0.0000 0.0000
3 W 0.8339 0.6678 0.1612
4 Ta 0.5000 0.0000 0.5000
5 Ta 0.1674 0.3348 0.3269
6 Ta 0.8326 0.6652 0.6731

Output
**Volume**: 99.0 Å³ per cell
**Density of states at the Fermi level**: 3.989 states/eV per cell
**Energy of formation from the pure elements**: -0.17 eV per formula unit
**Total energy**: -68.22 eV/atom